A relaxed PaMn2ReO8 crystal. Source: Alexandria, functional PBE with a Hubbard U.

raw total energy = -8.57 eV per atom
total moment = 10.00 μB per formula unit
mass density = 7.0 Mg/m³
symmetry = Cmmm

Cell lengths 4.847, 4.847, 6.614 Å; angles 90.00, 90.00, 91.93 degrees
Element x y z (fractional)
Pa: 0.000 0.000 0.000
Mn: 0.500 0.500 0.260
Mn: 0.500 0.500 0.740
Re: 0.000 0.000 0.500
O: 0.186 0.814 0.284
O: 0.186 0.814 0.716
O: 0.278 0.278 0.500
O: 0.300 0.300 0.000
O: 0.700 0.700 0.000
O: 0.722 0.722 0.500
O: 0.814 0.186 0.284
O: 0.814 0.186 0.716